Entry from the Alexandria database: a relaxed structure of TbMgAlCu (PBE).

Calculated values
- Size of the total moment: 0.000 μB/f.u.
- Symmetry: F-43m (216)
- ΔE_f: -1.0 eV per formula unit

a b c (Å): 4.8196 4.8196 4.8196
angles (deg): 60.00 60.00 60.00
Closest atoms and distances in Å follow each position.
Fractional positions:
1 Tb 0.0000 0.0000 0.0000  4 Cu 2.95, 4 Al 2.95
2 Mg 0.5000 0.5000 0.5000  4 Cu 2.95, 4 Al 2.95
3 Al 0.2500 0.2500 0.2500  4 Mg 2.95, 4 Tb 2.95
4 Cu 0.7500 0.7500 0.7500  4 Mg 2.95, 4 Tb 2.95



Entry from the Alexandria database: a relaxed structure of Ac2LaTmSb4 (PBE).

Calculated values
- Size of the total moment: 0.000 μB/f.u.
- Symmetry: P2/m (10)
- Formation energy (no corrections): -1.1677 eV/atom

a b c (Å): 8.0403 4.6508 8.0430
angles (deg): 90.00 109.48 90.00
Closest atoms and distances in Å follow each position.
Fractional positions:
1 Ac 0.0000 0.0000 0.0000  6 Sb 3.40
2 Ac 0.5000 0.5000 0.0000  6 Sb 3.33
3 La 0.0000 0.5000 0.5000  6 Sb 3.24
4 Tm 0.5000 0.0000 0.5000  6 Sb 3.16-3.17
5 Sb 0.2523 0.0000 0.7341  1 Tm 3.16, 2 La 3.24, 3 Ac 3.33-3.40
6 Sb 0.2643 0.5000 0.2709  2 Tm 3.17, 1 La 3.24, 3 Ac 3.33-3.40
7 Sb 0.7357 0.5000 0.7291  2 Tm 3.17, 1 La 3.24, 3 Ac 3.33-3.40
8 Sb 0.7477 0.0000 0.2659  1 Tm 3.16, 2 La 3.24, 3 Ac 3.33-3.40



Entry from the Alexandria database: a relaxed structure of BaLi2Ca (PBE).

Calculated values
- Size of the total moment: 0.000 μB/f.u.
- Symmetry: Fm-3m (225)
- Energy above the lowest structure with this stoichiometry: 0.4 kJ per mole of atoms
- ΔE_f: 0.2 eV per formula unit

a b c (Å): 5.9355 5.9355 5.9355
angles (deg): 60.00 60.00 60.00
Closest atoms and distances in Å follow each position.
Fractional positions:
1 Ba 0.0000 0.0000 0.0000  8 Li 3.63
2 Li 0.2500 0.2500 0.2500  4 Ca 3.63, 4 Ba 3.63
3 Li 0.7500 0.7500 0.7500  4 Ba 3.63, 4 Ca 3.63
4 Ca 0.5000 0.5000 0.5000  8 Li 3.63



Entry from the Alexandria database: a relaxed structure of NaCdP2O6 (PBE).

Calculated values
- Size of the total moment: 0.000 μB/f.u.
- Symmetry: C2/c (15)
- Formation energy (no corrections): -1.8567 eV/atom

a b c (Å): 8.0412 8.0412 4.5438
angles (deg): 98.89 98.89 86.95
Closest atoms and distances in Å follow each position.
Fractional positions:
1 Na 0.1716 0.8284 0.7500  2 O 2.26
2 Na 0.8284 0.1716 0.2500  2 O 2.26
3 Cd 0.4130 0.5870 0.2500  2 O 2.41
4 Cd 0.5870 0.4130 0.7500  2 O 2.41
5 P 0.1598 0.3364 0.7178  4 O 1.49-1.64
6 P 0.3364 0.1598 0.2178  4 O 1.49-1.64
7 P 0.6636 0.8402 0.7822  4 O 1.49-1.64
8 P 0.8402 0.6636 0.2822  4 O 1.49-1.64
9 O 0.0064 0.7417 0.3080  1 P 1.49
10 O 0.1858 0.5206 0.8427  1 P 1.52
11 O 0.2240 0.3092 0.3892  2 P 1.63-1.64
12 O 0.2583 0.9936 0.1920  1 P 1.49
13 O 0.3092 0.2240 0.8892  2 P 1.63-1.64
14 O 0.4794 0.8142 0.6573  1 P 1.52
15 O 0.5206 0.1858 0.3427  1 P 1.52
16 O 0.6908 0.7760 0.1108  2 P 1.63-1.64
17 O 0.7417 0.0064 0.8080  1 P 1.49
18 O 0.7760 0.6908 0.6108  2 P 1.63-1.64
19 O 0.8142 0.4794 0.1573  1 P 1.52
20 O 0.9936 0.2583 0.6920  1 P 1.49



Entry from the Alexandria database: a relaxed structure of DyAuSe2 (PBE).

Calculated values
- Size of the total moment: 0.000 μB/f.u.
- Symmetry: R-3m (166)
- Formation energy (no corrections): -1.1312 eV/atom

a b c (Å): 8.1765 8.1765 8.1765
angles (deg): 30.44 30.44 30.44
Closest atoms and distances in Å follow each position.
Fractional positions:
1 Dy 0.0000 0.0000 0.0000  6 Se 2.88
2 Au 0.5000 0.5000 0.5000  2 Se 2.43
3 Se 0.3961 0.3961 0.3961  1 Au 2.43
4 Se 0.6039 0.6039 0.6039  1 Au 2.43



Entry from the Alexandria database: a relaxed structure of CsRb3Mn4Cl12 (PBE).

Calculated values
- Size of the total moment: 20.000 μB/f.u.
- Symmetry: R32 (155)
- Formation energy (no corrections): -1.3798 eV/atom

a b c (Å): 9.9158 9.9158 9.9158
angles (deg): 104.53 104.53 104.53
Closest atoms and distances in Å follow each position.
Fractional positions:
1 Cs 0.0000 0.0000 0.0000  6 Cl 3.66
2 Rb 0.0000 0.5426 0.4574  6 Cl 3.29-3.32
3 Rb 0.4574 0.0000 0.5426  6 Cl 3.29-3.32
4 Rb 0.5426 0.4574 0.0000  6 Cl 3.29-3.32
5 Mn 0.0459 0.5000 0.9541  3 Cl 2.28
6 Mn 0.5000 0.5000 0.5000  3 Cl 2.27
7 Mn 0.5000 0.9541 0.0459  3 Cl 2.28
8 Mn 0.9541 0.0459 0.5000  3 Cl 2.28
9 Cl 0.0397 0.6510 0.8146  1 Mn 2.28
10 Cl 0.0992 0.9008 0.5000  1 Mn 2.28
11 Cl 0.1854 0.3490 0.9603  1 Mn 2.28
12 Cl 0.3490 0.9603 0.1854  1 Mn 2.28
13 Cl 0.3550 0.6450 0.5000  1 Mn 2.27
14 Cl 0.5000 0.0992 0.9008  1 Mn 2.28
15 Cl 0.5000 0.3550 0.6450  1 Mn 2.27
16 Cl 0.6450 0.5000 0.3550  1 Mn 2.27
17 Cl 0.6510 0.8146 0.0397  1 Mn 2.28
18 Cl 0.8146 0.0397 0.6510  1 Mn 2.28
19 Cl 0.9008 0.5000 0.0992  1 Mn 2.28
20 Cl 0.9603 0.1854 0.3490  1 Mn 2.28



Entry from the Alexandria database: a relaxed structure of Rb4Cr3Cl10 (PBE).

Calculated values
- Size of the total moment: 12.000 μB/f.u.
- Symmetry: I4/mmm (139)
- Formation energy (no corrections): -1.4591 eV/atom

a b c (Å): 18.4205 18.4205 18.4205
angles (deg): 164.30 164.30 22.27
Closest atoms and distances in Å follow each position.
Fractional positions:
1 Rb 0.0685 0.0685 0.0000  12 Cl 3.53-3.56
2 Rb 0.2007 0.2007 0.0000  9 Cl 3.34-3.56
3 Rb 0.7993 0.7993 0.0000  9 Cl 3.34-3.56
4 Rb 0.9315 0.9315 0.0000  12 Cl 3.53-3.56
5 Cr 0.3612 0.3612 0.0000  6 Cl 2.46-2.52
6 Cr 0.5000 0.5000 0.0000  6 Cl 2.52-2.54
7 Cr 0.6388 0.6388 0.0000  6 Cl 2.46-2.52
8 Cl 0.0000 0.5000 0.5000  2 Cr 2.52
9 Cl 0.1377 0.6377 0.5000  2 Cr 2.52
10 Cl 0.2931 0.2931 0.0000  1 Cr 2.46
11 Cl 0.3623 0.8623 0.5000  2 Cr 2.52
12 Cl 0.4297 0.4297 0.0000  2 Cr 2.48-2.54
13 Cl 0.5000 0.0000 0.5000  2 Cr 2.52
14 Cl 0.5703 0.5703 0.0000  2 Cr 2.48-2.54
15 Cl 0.6377 0.1377 0.5000  2 Cr 2.52
16 Cl 0.7069 0.7069 0.0000  1 Cr 2.46
17 Cl 0.8623 0.3623 0.5000  2 Cr 2.52



Entry from the Alexandria database: a relaxed structure of BaAcSi (PBE).

Calculated values
- Size of the total moment: 0.215 μB/f.u.
- Symmetry: F-43m (216)
- Energy above the lowest structure with this stoichiometry: 9.3 kJ per mole of atoms
- Formation energy (no corrections): -0.2261 eV/atom

a b c (Å): 5.4722 5.4722 5.4722
angles (deg): 60.00 60.00 60.00
Closest atoms and distances in Å follow each position.
Fractional positions:
1 Ba 0.0000 0.0000 0.0000  4 Si 3.35
2 Ac 0.5000 0.5000 0.5000  4 Si 3.35
3 Si 0.7500 0.7500 0.7500  4 Ba 3.35, 4 Ac 3.35



| no. | E (eV/atom) | calculated volume (A^3/atom) |
| --- | --- | --- |
| 1 | -3.76 | 19.79 |
| 2 | -5.43 | 35.44 |
| 3 | -1.90 | 36.97 |
| 4 | -6.14 | 14.33 |
| 5 | -4.84 | 31.08 |
| 6 | -4.51 | 43.04 |
| 7 | -4.47 | 26.90 |
| 8 | -4.04 | 38.62 |